# 1
DFT (PBE+U) results for a geometry-optimized Li2Mg2WO6 structure.

As for the final energy: -6.267 eV/atom. The density of states at the Fermi level comes out at 0.00 states/eV/cell.

Unit cell a=5.003 b=5.003 c=4.838 alpha=90.00 beta=90.00 gamma=120.00
Element x y z (fractional)
Li1 0.667 0.333 0.000
Li2 0.333 0.667 0.000
O1 0.323 0.323 0.766
O2 0.000 0.677 0.766
O3 0.323 0.000 0.234
O4 0.000 0.323 0.234
O5 0.677 0.000 0.766
O6 0.677 0.677 0.234
W1 0.000 0.000 0.000
Mg1 0.667 0.333 0.500
Mg2 0.333 0.667 0.500

***

# 2
DFT (PBE+U) results for a geometry-optimized LiMgW2O8 structure.

As for the final energy: -6.637 eV/atom. The density of states at the Fermi level comes out at 9.64 states/eV/cell.

Unit cell a=5.993 b=5.993 c=5.993 alpha=111.33 beta=111.33 gamma=105.80
Site moments in Bohr magnetons follow the coordinates.
Element x y z (fractional)
Mg1 0.250 0.750 0.500  0.00
W1 0.500 0.500 0.000  -0.04
W2 0.750 0.250 0.500  -0.12
O1 0.358 0.581 0.222  0.07
O2 0.385 0.105 0.280  0.19
O3 0.895 0.615 0.720  0.19
O4 0.895 0.176 0.280  0.19
O5 0.864 0.642 0.222  0.07
O6 0.358 0.136 0.778  0.07
O7 0.419 0.642 0.778  0.07
O8 0.824 0.105 0.720  0.19
Li1 0.000 0.000 0.000  0.00

***

# 3
DFT (PBE+U) results for a geometry-optimized LiMg30WO32 structure.

As for the final energy: -6.012 eV/atom. The density of states at the Fermi level comes out at 0.00 states/eV/cell.

Unit cell a=8.534 b=8.534 c=8.548 alpha=90.00 beta=90.00 gamma=90.00
Site moments in Bohr magnetons follow the coordinates.
Element x y z (fractional)
O1 0.000 0.743 0.000  0.00
O2 0.500 0.251 0.000  0.00
O3 0.500 0.000 0.748  0.00
O4 0.751 0.249 0.749  0.00
O5 0.250 0.500 0.500  0.00
O6 0.000 0.000 0.248  0.03
O7 0.743 0.000 0.000  0.00
O8 0.751 0.249 0.251  0.00
O9 0.000 0.746 0.500  0.03
O10 0.746 0.000 0.500  0.03
O11 0.249 0.249 0.749  0.00
O12 0.000 0.500 0.252  0.00
O13 0.500 0.500 0.749  0.00
O14 0.751 0.751 0.251  0.00
O15 0.749 0.500 0.000  0.00
O16 0.257 0.000 0.000  0.00
O17 0.000 0.257 0.000  0.00
O18 0.500 0.250 0.500  0.00
O19 0.251 0.500 0.000  0.00
O20 0.249 0.751 0.749  0.00
O21 0.249 0.751 0.251  0.00
O22 0.000 0.500 0.748  0.00
O23 0.500 0.500 0.251  0.00
O24 0.751 0.751 0.749  0.00
O25 0.500 0.750 0.500  0.00
O26 0.254 0.000 0.500  0.03
O27 0.750 0.500 0.500  0.00
O28 0.000 0.000 0.752  0.03
O29 0.500 0.749 0.000  0.00
O30 0.249 0.249 0.251  0.00
O31 0.500 0.000 0.252  0.00
O32 0.000 0.254 0.500  0.03
Mg1 0.000 0.251 0.758  0.00
Mg2 0.251 0.000 0.758  0.00
Mg3 0.500 0.500 0.000  0.00
Mg4 0.500 0.250 0.751  0.00
Mg5 0.752 0.248 0.000  0.00
Mg6 0.000 0.500 0.000  0.00
Mg7 0.749 0.000 0.242  0.00
Mg8 0.500 0.500 0.500  0.00
Mg9 0.250 0.500 0.751  0.00
Mg10 0.752 0.752 0.000  0.00
Mg11 0.000 0.500 0.500  0.00
Mg12 0.746 0.254 0.500  0.00
Mg13 0.500 0.000 0.500  0.00
Mg14 0.000 0.251 0.242  0.00
Mg15 0.000 0.749 0.758  0.00
Mg16 0.500 0.000 0.000  0.00
Mg17 0.749 0.000 0.758  0.00
Mg18 0.750 0.500 0.751  0.00
Mg19 0.746 0.746 0.500  0.00
Mg20 0.248 0.752 0.000  0.00
Mg21 0.254 0.746 0.500  0.00
Mg22 0.248 0.248 0.000  0.00
Mg23 0.500 0.750 0.249  0.00
Mg24 0.254 0.254 0.500  0.00
Mg25 0.251 0.000 0.242  0.00
Mg26 0.500 0.250 0.249  0.00
Mg27 0.500 0.750 0.751  0.00
Mg28 0.750 0.500 0.249  0.00
Mg29 0.000 0.749 0.242  0.00
Mg30 0.250 0.500 0.249  0.00
W1 0.000 0.000 0.500  2.65
Li1 0.000 0.000 0.000  0.00

***

The highest final energy belongs to which entry? LiMg30WO32

***

The highest final energy belongs to which entry? LiMg30WO32

***

Which value of final energy does entry 2 give? -6.637 eV/atom

***

The highest final energy belongs to which entry? LiMg30WO32